Density functional theory data (PBE) for a relaxed TiAl2Os3 crystal.

a b c (Å): 3.0681 3.0681 8.9947
angles (deg): 90.00 90.00 90.00
Sites, in units of the cell vectors:
Ti  0.5000  0.5000  0.5000
Al  0.5000  0.5000  0.8362
Os  0.0000  0.0000  0.3305
Os  0.0000  0.0000  0.0000
Os  0.0000  0.0000  0.6695
Al  0.5000  0.5000  0.1638

Results
E: -8.6839 eV/atom